(1)
The following is a GGA-PBE calculation of a relaxed TlReBr2 crystal, from the Alexandria database.

Cell lengths 8.133, 8.665, 3.433 Å; angles 90.00, 110.92, 90.00 degrees
Space group C2/m (No. 12)
Symmetry-distinct sites (fractional):
Tl: 0.000 0.000 0.000
Re: 0.000 0.500 0.000
Br: 0.250 0.250 0.500

Output
* E_form (uncorrected): 941 meV per atom
* polymorph energy (0 for the lowest one): 623 meV per atom
* DOS(E_F): 3.2 states/eV/cell
* DFT total energy: -28.792 eV for the cell shown
* theoretical density: 8.09 g/cm3

---

(2)
The following is a GGA-PBE calculation of a relaxed Ca2YW crystal, from the Alexandria database.

Cell lengths 3.302, 5.988, 11.806 Å; angles 90.00, 90.00, 90.00 degrees
Space group Imm2 (No. 44)
Symmetry-distinct sites (fractional):
Ca: 0.000 0.000 0.000
Ca: 0.000 0.500 0.208
Y: 0.000 0.000 0.413
W: 0.000 0.500 0.717

Output
* polymorph energy (0 for the lowest one): 130 meV per atom
* DOS(E_F): 8.6 states/eV/cell
* DFT total energy: -41.019 eV for the cell shown
* theoretical density: 5.02 g/cm3
* energy of formation: 0.728 eV per atom

---

(3)
The following is a GGA-PBE calculation of a relaxed K4Zn2H crystal, from the Alexandria database.

Cell lengths 6.197, 6.197, 14.930 Å; angles 90.00, 90.00, 90.00 degrees
Space group I4/mmm (No. 139)
Symmetry-distinct sites (fractional):
K: 0.000 0.000 0.180
K: 0.000 0.500 0.000
Zn: 0.000 0.000 0.411
H: 0.000 0.000 0.000

Output
* DOS(E_F): 6.1 states/eV/cell
* DFT total energy: -18.861 eV for the cell shown
* theoretical density: 1.67 g/cm3